[1]
Here is an optimized crystal structure of TbCePuAg from the Alexandria database. Energies are from GGA-PBE.

## Properties
Volume   412.04 Å³ per cell
Formation enthalpy at 0 K   0.0983 eV per atom

```
data_TbCePuAg
_symmetry_space_group_name_H-M 'F -4 3 m'
_symmetry_Int_Tables_number 216
_symmetry_space_group_name_Hall 'F -4 2 3'
_cell_length_a 7.441
_cell_length_b 7.441
_cell_length_c 7.441
_cell_angle_alpha 90.00
_cell_angle_beta 90.00
_cell_angle_gamma 90.00
loop_
_atom_site_label
_atom_site_type_symbol
_atom_site_fract_x
_atom_site_fract_y
_atom_site_fract_z
Tb1 Tb 0.000 0.000 0.000
Ce1 Ce 0.000 0.000 0.500
Pu1 Pu 0.250 0.250 0.250
Ag1 Ag 0.250 0.250 0.750
```

***

[2]
Here is an optimized crystal structure of SrPr2Tl from the Alexandria database. Energies are from GGA-PBE.

## Properties
Volume   136.22 Å³ per cell
Formation enthalpy at 0 K   -0.1117 eV per atom
Offset from the most stable computed form   0 meV per atom

```
data_SrPr2Tl
_symmetry_space_group_name_H-M 'P 4/m m m'
_symmetry_Int_Tables_number 123
_symmetry_space_group_name_Hall '-P 4 2'
_cell_length_a 5.157
_cell_length_b 5.157
_cell_length_c 5.122
_cell_angle_alpha 90.00
_cell_angle_beta 90.00
_cell_angle_gamma 90.00
loop_
_atom_site_label
_atom_site_type_symbol
_atom_site_fract_x
_atom_site_fract_y
_atom_site_fract_z
Sr1 Sr 0.000 0.000 0.000
Pr1 Pr 0.000 0.500 0.500
Tl1 Tl 0.500 0.500 0.000
```

***

[3]
Here is an optimized crystal structure of Tm5Pb4N from the Alexandria database. Energies are from GGA-PBE.

## Properties
Volume   529.30 Å³ per cell
E_form (uncorrected)   -0.520 eV/atom

```
data_Tm5Pb4N
_symmetry_space_group_name_H-M 'I 4'
_symmetry_Int_Tables_number 79
_symmetry_space_group_name_Hall 'I 4'
_cell_length_a 9.296
_cell_length_b 9.296
_cell_length_c 6.126
_cell_angle_alpha 90.00
_cell_angle_beta 90.00
_cell_angle_gamma 90.00
loop_
_atom_site_label
_atom_site_type_symbol
_atom_site_fract_x
_atom_site_fract_y
_atom_site_fract_z
Tm1 Tm 0.000 0.000 0.000
Tm2 Tm 0.110 0.772 0.567
Pb1 Pb 0.063 0.670 0.074
N1 N 0.000 0.000 0.624
```

***

[4]
Here is an optimized crystal structure of ReAg from the Alexandria database. Energies are from GGA-PBE.

## Properties
Volume   32.21 Å³ per cell
Formation enthalpy at 0 K   0.7759 eV per atom
Offset from the most stable computed form   529 meV per atom

```
data_ReAg
_symmetry_space_group_name_H-M 'P 4/m m m'
_symmetry_Int_Tables_number 123
_symmetry_space_group_name_Hall '-P 4 2'
_cell_length_a 2.654
_cell_length_b 2.654
_cell_length_c 4.575
_cell_angle_alpha 90.00
_cell_angle_beta 90.00
_cell_angle_gamma 90.00
loop_
_atom_site_label
_atom_site_type_symbol
_atom_site_fract_x
_atom_site_fract_y
_atom_site_fract_z
Re1 Re 0.000 0.000 0.000
Ag1 Ag 0.500 0.500 0.500
```

***

In μB per cell, the magnetic moment values for the records above are, in order, 33.3; 0.0; 0.0; 0.0.